First-principles (PBE) data for crystalline Ag5Pt3 at its relaxed geometry, as listed in Alexandria.

## Properties
Formation energy from the elements: 0.068 eV per formula unit
Volume: 135 Å³/cell

abc: 4.934 4.934 10.148
angles: 80.76 80.76 33.64
Element x y z (fractional)
Ag: 0.991 0.991 0.005
Ag: 0.745 0.745 0.881
Ag: 0.500 0.500 0.750
Ag: 0.255 0.255 0.619
Ag: 0.009 0.009 0.495
Pt: 0.760 0.760 0.367
Pt: 0.500 0.500 0.250
Pt: 0.240 0.240 0.133